Computed, not measured: a relaxed CsLiTcBr6 crystal at the PBE-GGA level of DFT.

Values from the calculation:
electronic total energy	-31.9	eV per cell
symmetry	P312

Cell lengths 6.920, 6.920, 8.180 Å; angles 90.00, 90.00, 120.00 degrees
Positions (direct):
Cs1 0.000 0.000 0.000
Li1 0.333 0.667 0.500
Tc1 0.667 0.333 0.500
Br1 0.380 0.023 0.680
Br2 0.380 0.358 0.320
Br3 0.642 0.023 0.320
Br4 0.642 0.620 0.680
Br5 0.977 0.358 0.680
Br6 0.977 0.620 0.320